{"formula": "Tb3Pr4Nd8", "functional": "GGA-PBE", "state": "optimized geometry", "relative_energy_mev_per_atom": 191, "formation_enthalpy_0k_mev_per_atom": 303, "lattice_angstrom": [[6.912, -0.109, -0.156], [-3.293, 8.680, 1.620], [-3.293, -1.494, 8.703]], "species": ["Tb", "Tb", "Tb", "Pr", "Pr", "Pr", "Pr", "Nd", "Nd", "Nd", "Nd", "Nd", "Nd", "Nd", "Nd"], "fractional_positions": [[0.500, 0.500, 0.000], [0.500, 0.000, 0.500], [0.500, 0.500, 0.500], [0.500, 0.000, 0.000], [0.000, 0.500, 0.000], [0.000, 0.000, 0.000], [0.000, 0.000, 0.500], [0.252, 0.249, 0.249], [0.000, 0.701, 0.299], [0.800, 0.300, 0.300], [0.500, 0.751, 0.249], [0.500, 0.249, 0.751], [0.200, 0.700, 0.700], [0.000, 0.299, 0.701], [0.748, 0.751, 0.751]]}

{"formula": "MgSbS3", "functional": "GGA-PBE", "state": "optimized geometry", "relative_energy_mev_per_atom": 0, "formation_energy_uncorrected_ev_per_atom": -0.471, "lattice_angstrom": [[-0.558, -3.187, -2.073], [5.539, 1.364, -3.590], [0.741, -3.743, 5.557]], "species": ["Mg", "Sb", "S", "S", "S"], "fractional_positions": [[0.500, 0.099, 0.901], [0.000, 0.431, 0.569], [0.500, 0.702, 0.823], [0.000, 0.220, 0.780], [0.500, 0.177, 0.298]]}

{"formula": "InGa2I8", "functional": "GGA-PBE", "state": "optimized geometry", "formation_energy_uncorrected_ev_per_atom": -0.456, "lattice_angstrom": [[7.170, -0.049, -0.042], [0.883, 8.783, 0.160], [0.883, 1.519, 8.652]], "species": ["In", "Ga", "Ga", "I", "I", "I", "I", "I", "I", "I", "I"], "fractional_positions": [[0.000, 0.000, 0.000], [0.344, 0.204, 0.204], [0.656, 0.796, 0.796], [0.765, 0.078, 0.705], [0.235, 0.295, 0.922], [0.709, 0.198, 0.198], [0.291, 0.802, 0.802], [0.765, 0.705, 0.078], [0.235, 0.922, 0.295], [0.209, 0.385, 0.385], [0.791, 0.615, 0.615]]}

{"formula": "MnInCu2Sn", "functional": "GGA-PBE", "state": "optimized geometry", "formation_enthalpy_0k_mev_per_atom": 1001, "lattice_angstrom": [[-1.400, 4.443, -1.147], [-0.341, -1.509, -5.429], [-4.580, -1.277, 0.643]], "species": ["Mn", "Sn", "Cu", "Cu", "In"], "fractional_positions": [[0.500, 0.500, 0.500], [0.000, 0.500, 0.000], [0.000, 0.000, 0.500], [0.500, 0.000, 0.000], [0.000, 0.000, 0.000]]}

{"formula": "PaTeCl", "functional": "GGA-PBE", "state": "optimized geometry", "relative_energy_mev_per_atom": 85, "formation_energy_uncorrected_ev_per_atom": -1.041, "lattice_angstrom": [[7.036, 0.000, 0.000], [0.000, 5.935, 0.092], [0.000, 0.201, 8.794]], "species": ["Pa", "Pa", "Pa", "Pa", "Te", "Te", "Te", "Te", "Cl", "Cl", "Cl", "Cl"], "fractional_positions": [[0.498, 0.150, 0.657], [0.998, 0.850, 0.843], [0.502, 0.850, 0.343], [0.002, 0.150, 0.157], [0.170, 0.649, 0.156], [0.330, 0.649, 0.656], [0.830, 0.351, 0.844], [0.670, 0.351, 0.344], [0.799, 0.861, 0.569], [0.701, 0.861, 0.069], [0.201, 0.139, 0.431], [0.299, 0.139, 0.931]]}

{"formula": "KHgBr4", "functional": "GGA-PBE", "state": "optimized geometry", "relative_energy_mev_per_atom": 508, "formation_energy_uncorrected_ev_per_atom": -0.215, "lattice_angstrom": [[2.423, 4.967, 3.493], [-1.958, 0.919, 6.170], [4.112, -1.180, 4.945]], "species": ["K", "Hg", "Br", "Br", "Br", "Br"], "fractional_positions": [[0.000, 0.000, 0.000], [0.750, 0.750, 0.750], [0.873, 0.376, 0.376], [0.376, 0.376, 0.873], [0.376, 0.873, 0.376], [0.376, 0.376, 0.376]]}

{"formula": "PtW2Se", "functional": "GGA-PBE", "state": "optimized geometry", "formation_energy_uncorrected_ev_per_atom": 0.625, "lattice_angstrom": [[-3.172, 2.195, -2.388], [-0.727, -3.193, -1.969], [-2.634, -0.994, 2.584]], "species": ["Pt", "Se", "W", "W"], "fractional_positions": [[0.500, 0.500, 0.000], [0.500, 0.000, 0.500], [0.000, 0.000, 0.000], [0.000, 0.500, 0.500]]}

{"formula": "Cs3Tl3HgI8", "functional": "GGA-PBE", "state": "optimized geometry", "formation_energy_uncorrected_ev_per_atom": -0.912, "lattice_angstrom": [[10.651, 0.000, 0.000], [-5.326, 9.225, -0.031], [0.000, -6.124, 8.145]], "species": ["Cs", "Cs", "Cs", "Tl", "Tl", "Tl", "Hg", "I", "I", "I", "I", "I", "I", "I", "I"], "fractional_positions": [[0.500, 0.000, 0.500], [0.500, 0.500, 0.500], [0.000, 0.500, 0.500], [0.000, 0.000, 0.000], [0.000, 0.500, 0.000], [0.500, 0.500, 0.000], [0.000, 0.000, 0.500], [0.241, 0.482, 0.223], [0.759, 0.518, 0.777], [0.788, 0.575, 0.271], [0.212, 0.425, 0.729], [0.787, 0.983, 0.271], [0.213, 0.017, 0.729], [0.196, 0.983, 0.271], [0.804, 0.017, 0.729]]}

{"formula": "KMg3Si", "functional": "GGA-PBE", "state": "optimized geometry", "relative_energy_mev_per_atom": 0, "formation_energy_uncorrected_ev_per_atom": 0.250, "lattice_angstrom": [[5.319, 0.000, 0.000], [0.000, 5.319, 0.000], [0.000, 0.000, 5.319]], "species": ["Mg", "Mg", "Mg", "K", "Si"], "fractional_positions": [[0.000, 0.500, 0.000], [0.000, 0.000, 0.500], [0.500, 0.000, 0.000], [0.500, 0.500, 0.500], [0.000, 0.000, 0.000]]}

{"formula": "CoPt2Br", "functional": "GGA-PBE", "state": "optimized geometry", "relative_energy_mev_per_atom": 371, "formation_energy_uncorrected_ev_per_atom": 0.663, "lattice_angstrom": [[-3.413, -2.442, 2.659], [2.152, -3.253, 3.076], [0.770, 4.830, -0.868]], "species": ["Br", "Co", "Pt", "Pt"], "fractional_positions": [[0.250, 0.750, 0.500], [0.750, 0.250, 0.500], [0.000, 0.000, 0.000], [0.500, 0.500, 0.000]]}

{"formula": "BaReH7", "functional": "GGA-PBE", "state": "optimized geometry", "relative_energy_mev_per_atom": 0, "lattice_angstrom": [[-4.204, 9.027, -0.183], [-3.164, -1.453, 1.028], [0.434, 0.300, 4.841]], "species": ["Ba", "Ba", "Re", "Re", "H", "H", "H", "H", "H", "H", "H", "H", "H", "H", "H", "H", "H", "H"], "fractional_positions": [[0.000, 0.000, 0.000], [0.500, 0.000, 0.000], [0.750, 0.428, 0.465], [0.250, 0.572, 0.535], [0.750, 0.495, 0.108], [0.250, 0.505, 0.892], [0.584, 0.394, 0.379], [0.084, 0.606, 0.621], [0.416, 0.606, 0.621], [0.916, 0.394, 0.379], [0.648, 0.545, 0.714], [0.148, 0.455, 0.286], [0.352, 0.455, 0.286], [0.852, 0.545, 0.714], [0.750, 0.974, 0.350], [0.250, 0.026, 0.650], [0.750, 0.074, 0.736], [0.250, 0.926, 0.264]]}

{"formula": "NiP", "functional": "GGA-PBE", "state": "optimized geometry", "formation_enthalpy_0k_mev_per_atom": -315, "lattice_angstrom": [[-2.426, 1.199, -2.500], [1.274, -2.042, -2.215], [-1.709, -3.824, 2.543]], "species": ["Ni", "Ni", "P", "P"], "fractional_positions": [[0.220, 0.750, 0.940], [0.780, 0.250, 0.060], [0.590, 0.750, 0.679], [0.410, 0.250, 0.321]]}

no.,density (Mg/m³)
1,6.86
2,2.60
3,3.88
4,5.31
5,7.13
6,4.70
7,16.08
8,4.63
9,1.55
10,13.51
11,6.34
12,5.44